Below is a relaxed structure of ZrTcMoF, with properties calculated at the PBE+U level.

- Mass density: 7.258 g/cm³
- Space group: Imm2
- Final energy: -7.433 eV per atom
- DOS at the Fermi energy: 2.26 states/eV/f.u.
- Magnetization: 1.8 μB per formula unit

Lattice parameters (Å, degrees): 3.117 3.162 14.122 90.00 90.00 90.00
Element x y z (fractional)
Mo 0.000 0.500 0.245
Mo 0.500 0.000 0.745
Tc 0.000 0.500 0.635
Tc 0.500 0.000 0.135
Zr 0.000 0.500 0.008
Zr 0.500 0.000 0.508
F 0.000 0.000 0.388
F 0.500 0.500 0.888